## AlW2 (PBE)

Data for a relaxed AlW2 crystal.

Cell lengths 2.6833, 14.8976, 4.8369 Å; angles 90.00, 90.00, 90.00 degrees
Fractional coordinates of all 12 atoms:
Al: 0.0000 0.2212 0.2500
Al: 0.0000 0.7788 0.7500
Al: 0.5000 0.2788 0.7500
Al: 0.5000 0.7212 0.2500
W: 0.0000 0.1157 0.7500
W: 0.0000 0.4455 0.7500
W: 0.0000 0.5545 0.2500
W: 0.0000 0.8843 0.2500
W: 0.5000 0.0545 0.2500
W: 0.5000 0.3843 0.2500
W: 0.5000 0.6157 0.7500
W: 0.5000 0.9455 0.7500

Calculated values
Total DFT energy (no corrections), eV per atom: -9.6371
Energy relative to the elements, kJ per mole of atoms: 23.72